Entry 1:
! PBE-GGA Si2W, optimized geometry; values from VASP
! - spin magnetization (μB per cell) = 0.00
! - symmetry = No. 139
! - E_form (uncorrected) (eV per atom) = -0.35
&SYSTEM
  ibrav = 0, nat = 3, ntyp = 2
/
ATOMIC_SPECIES
Si 28.09 Si.upf
W 183.84 W.upf
CELL_PARAMETERS angstrom
-1.615 1.615 3.931
1.615 -1.615 3.931
1.615 1.615 -3.931
ATOMIC_POSITIONS angstrom
Si 0.000 0.000 1.300
Si 0.000 0.000 6.562
W 0.000 0.000 3.931


Entry 2:
! PBE-GGA SiW, optimized geometry; values from VASP
! - spin magnetization (μB per cell) = 0.00
! - symmetry = No. 166
! - E_form (uncorrected) (eV per atom) = 0.30
&SYSTEM
  ibrav = 0, nat = 4, ntyp = 2
/
ATOMIC_SPECIES
Si 28.09 Si.upf
W 183.84 W.upf
CELL_PARAMETERS angstrom
2.141 1.236 4.221
-2.141 1.236 4.221
0.000 -2.472 4.221
ATOMIC_POSITIONS angstrom
Si 0.000 0.000 1.321
Si 0.000 0.000 11.344
W 0.000 0.000 3.903
W 0.000 0.000 8.761


Entry 3:
! PBE-GGA Si5W3, optimized geometry; values from VASP
! - spin magnetization (μB per cell) = 0.00
! - symmetry = No. 8
! - E_form (uncorrected) (eV per atom) = 0.08
&SYSTEM
  ibrav = 0, nat = 16, ntyp = 2
/
ATOMIC_SPECIES
Si 28.09 Si.upf
W 183.84 W.upf
CELL_PARAMETERS angstrom
3.133 -6.401 0.000
3.133 6.401 0.000
-2.800 0.000 6.049
ATOMIC_POSITIONS angstrom
Si 0.000 0.000 0.000
Si -1.360 2.055 5.526
Si 1.629 5.046 2.745
Si 1.536 1.828 2.218
Si -1.360 -2.055 5.526
Si 1.560 1.598 5.131
Si 2.990 0.000 0.946
Si 1.536 -1.828 2.218
Si 1.560 -1.598 5.131
Si 1.629 -5.046 2.745
W -0.045 3.250 3.777
W 2.645 3.824 0.885
W -0.280 0.000 4.558
W -0.045 -3.250 3.777
W 2.767 0.000 3.443
W 2.645 -3.824 0.885


Entry 4:
! PBE-GGA Si4W, optimized geometry; values from VASP
! - spin magnetization (μB per cell) = 0.00
! - symmetry = No. 139
! - E_form (uncorrected) (eV per atom) = 0.51
&SYSTEM
  ibrav = 0, nat = 5, ntyp = 2
/
ATOMIC_SPECIES
Si 28.09 Si.upf
W 183.84 W.upf
CELL_PARAMETERS angstrom
-1.664 1.664 6.834
1.664 -1.664 6.834
1.664 1.664 -6.834
ATOMIC_POSITIONS angstrom
Si 0.000 0.000 1.258
Si 1.664 0.000 3.417
Si 0.000 1.664 3.417
Si 0.000 0.000 12.411
W 0.000 0.000 6.834


Entry 5:
! PBE-GGA SiW, optimized geometry; values from VASP
! - spin magnetization (μB per cell) = 0.00
! - symmetry = No. 129
! - E_form (uncorrected) (eV per atom) = -0.27
&SYSTEM
  ibrav = 0, nat = 4, ntyp = 2
/
ATOMIC_SPECIES
Si 28.09 Si.upf
W 183.84 W.upf
CELL_PARAMETERS angstrom
3.183 0.000 0.000
0.000 3.183 0.000
0.000 0.000 5.629
ATOMIC_POSITIONS angstrom
Si 0.796 0.796 0.702
Si 2.387 2.387 4.927
W 0.796 0.796 3.665
W 2.387 2.387 1.964


Entry 6:
! PBE-GGA SiW, optimized geometry; values from VASP
! - spin magnetization (μB per cell) = 1.50
! - symmetry = No. 194
! - E_form (uncorrected) (eV per atom) = 0.43
&SYSTEM
  ibrav = 0, nat = 4, ntyp = 2
/
ATOMIC_SPECIES
Si 28.09 Si.upf
W 183.84 W.upf
CELL_PARAMETERS angstrom
3.914 0.000 0.000
-1.957 3.390 0.000
0.000 0.000 4.752
ATOMIC_POSITIONS angstrom
Si 0.000 0.000 0.000
Si 0.000 0.000 2.376
W 0.000 2.260 1.188
W 1.957 1.130 3.564


Entry 7:
! PBE-GGA SiW8, optimized geometry; values from VASP
! - spin magnetization (μB per cell) = 0.00
! - symmetry = No. 139
! - E_form (uncorrected) (eV per atom) = 0.27
&SYSTEM
  ibrav = 0, nat = 9, ntyp = 2
/
ATOMIC_SPECIES
Si 28.09 Si.upf
W 183.84 W.upf
CELL_PARAMETERS angstrom
-4.030 4.030 2.217
4.030 -4.030 2.217
4.030 4.030 -2.217
ATOMIC_POSITIONS angstrom
Si 0.000 0.000 0.000
W 2.641 0.000 0.000
W 5.420 0.000 0.000
W 0.000 2.641 0.000
W 2.715 2.715 0.000
W 1.315 -1.315 2.217
W -1.315 1.315 2.217
W 1.315 1.315 2.217
W 0.000 5.420 0.000


Entry 8:
! PBE-GGA SiW, optimized geometry; values from VASP
! - spin magnetization (μB per cell) = 0.00
! - symmetry = No. 166
! - E_form (uncorrected) (eV per atom) = 0.15
&SYSTEM
  ibrav = 0, nat = 4, ntyp = 2
/
ATOMIC_SPECIES
Si 28.09 Si.upf
W 183.84 W.upf
CELL_PARAMETERS angstrom
1.465 0.846 8.162
-1.465 0.846 8.162
0.000 -1.691 8.162
ATOMIC_POSITIONS angstrom
Si 0.000 0.000 3.057
Si 0.000 0.000 21.428
W 0.000 0.000 9.259
W 0.000 0.000 15.225


Entry 9:
! PBE-GGA SiW, optimized geometry; values from VASP
! - spin magnetization (μB per cell) = 0.00
! - symmetry = No. 12
! - E_form (uncorrected) (eV per atom) = -0.06
&SYSTEM
  ibrav = 0, nat = 4, ntyp = 2
/
ATOMIC_SPECIES
Si 28.09 Si.upf
W 183.84 W.upf
CELL_PARAMETERS angstrom
4.453 -1.527 0.000
4.453 1.527 0.000
-1.197 0.000 4.250
ATOMIC_POSITIONS angstrom
Si 0.737 0.000 1.428
Si 6.971 0.000 2.822
W 3.215 0.000 0.755
W 4.493 0.000 3.495


Entry 10:
! PBE-GGA SiW, optimized geometry; values from VASP
! - spin magnetization (μB per cell) = 0.00
! - symmetry = No. 217
! - E_form (uncorrected) (eV per atom) = 1.22
&SYSTEM
  ibrav = 0, nat = 8, ntyp = 2
/
ATOMIC_SPECIES
Si 28.09 Si.upf
W 183.84 W.upf
CELL_PARAMETERS angstrom
-3.862 3.862 3.862
3.862 -3.862 3.862
3.862 3.862 -3.862
ATOMIC_POSITIONS angstrom
Si 2.386 2.386 -2.386
Si 2.386 -2.386 2.386
Si 1.476 1.476 1.476
Si -2.386 2.386 2.386
W 0.939 0.939 -0.939
W 0.939 -0.939 0.939
W -0.939 0.939 0.939
W 2.923 2.923 2.923


Entry 11:
! PBE-GGA SiW, optimized geometry; values from VASP
! - spin magnetization (μB per cell) = 0.00
! - symmetry = No. 12
! - E_form (uncorrected) (eV per atom) = -0.09
&SYSTEM
  ibrav = 0, nat = 6, ntyp = 2
/
ATOMIC_SPECIES
Si 28.09 Si.upf
W 183.84 W.upf
CELL_PARAMETERS angstrom
5.165 -1.571 0.000
5.165 1.571 0.000
-1.835 0.000 5.323
ATOMIC_POSITIONS angstrom
Si 0.000 0.000 0.000
Si 3.202 0.000 0.903
Si 5.293 0.000 4.421
W -0.917 0.000 2.662
W 2.068 0.000 3.694
W 6.427 0.000 1.630


Entry 12:
! PBE-GGA Si2W, optimized geometry; values from VASP
! - spin magnetization (μB per cell) = 0.00
! - symmetry = No. 140
! - E_form (uncorrected) (eV per atom) = -0.01
&SYSTEM
  ibrav = 0, nat = 6, ntyp = 2
/
ATOMIC_SPECIES
Si 28.09 Si.upf
W 183.84 W.upf
CELL_PARAMETERS angstrom
-3.000 3.000 2.594
3.000 -3.000 2.594
3.000 3.000 -2.594
ATOMIC_POSITIONS angstrom
Si 3.841 0.840 0.000
Si 0.840 2.160 0.000
Si 2.160 0.840 2.594
Si -0.840 2.160 2.594
W 0.000 0.000 1.297
W 0.000 0.000 3.891


Number 1: energy -0.304 hartree per atom. Number 2: energy -0.327 hartree per atom. Number 3: energy -0.300 hartree per atom. Number 4: energy -0.236 hartree per atom. Number 5: energy -0.347 hartree per atom. Number 6: energy -0.322 hartree per atom. Number 7: energy -0.435 hartree per atom. Number 8: energy -0.332 hartree per atom. Number 9: energy -0.340 hartree per atom. Number 10: energy -0.293 hartree per atom. Number 11: energy -0.341 hartree per atom. Number 12: energy -0.292 hartree per atom.